1.
CeScH4, relaxed, DFT PBE-GGA; symmetry = P4/mmm; magnetic moment = 0.113 μB per atom; E_tot = -4.868 eV per atom
1.0
-3.403 0.576 -0.699
0.626 -0.467 -3.433
-0.988 -5.191 0.526
H Sc Ce
4 1 1
Direct
0.001 0.497 0.282
0.501 0.997 0.714
0.001 0.497 0.714
0.501 0.997 0.282
0.001 0.997 0.498
0.501 0.497 0.998

2.
Ce2Sc4Sn3H2, relaxed, DFT PBE-GGA; symmetry = I4/mmm; magnetic moment = 0.316 μB per atom; E_tot = -5.625 eV per atom
1.0
-0.198 4.300 -1.474
-4.466 0.091 0.865
4.553 1.698 11.369
Ce Sc H Sn
2 4 2 3
Direct
0.694 0.694 0.388
0.306 0.306 0.612
0.580 0.080 0.160
0.920 0.420 0.840
0.080 0.580 0.160
0.420 0.920 0.840
0.408 0.408 0.815
0.592 0.592 0.185
0.168 0.168 0.335
0.000 0.000 0.000
0.832 0.832 0.665

3.
Ce3HSe3, relaxed, DFT PBE-GGA; symmetry = R3m; magnetic moment = 0.571 μB per atom; E_tot = -5.795 eV per atom
1.0
-4.080 0.460 4.397
-2.432 -2.833 -4.717
4.757 -3.104 1.981
Se Ce H
3 3 1
Direct
0.539 0.539 0.129
0.539 0.129 0.539
0.129 0.539 0.539
0.624 0.035 0.035
0.035 0.035 0.624
0.035 0.624 0.035
0.900 0.900 0.900

4.
Ce2HSe2, relaxed, DFT PBE-GGA; symmetry = Ibam; magnetic moment = 0.465 μB per atom; E_tot = -5.940 eV per atom
1.0
5.928 0.000 0.000
0.000 6.030 0.000
-2.964 -3.015 6.033
Ce Se H
4 4 2
Direct
0.110 0.827 0.221
0.890 0.173 0.779
0.390 0.606 0.779
0.610 0.394 0.221
0.141 0.352 0.282
0.859 0.648 0.718
0.641 0.930 0.282
0.359 0.070 0.718
0.750 0.500 0.000
0.250 0.500 0.000

5.
CeHSe, relaxed, DFT PBE-GGA; symmetry = I4mm; magnetic moment = 0.309 μB per atom; E_tot = -5.136 eV per atom
1.0
3.570 0.000 0.000
0.000 3.570 0.000
-1.785 -1.785 4.538
H Ce Se
1 1 1
Direct
0.296 0.296 0.593
0.689 0.689 0.378
0.015 0.015 0.029

6.
Ce2HSe, relaxed, DFT PBE-GGA; ΔE to the lowest computed polymorph = 89 meV per atom; symmetry = R3m; magnetic moment = 0.601 μB per atom
1.0
-2.054 3.180 -0.769
-3.160 -0.229 -2.209
-5.422 -0.095 4.388
Ce H Se
2 1 1
Direct
0.238 0.238 0.286
0.098 0.098 0.706
0.496 0.496 0.513
0.668 0.668 0.995

7.
Ce2HSe, relaxed, DFT PBE-GGA; ΔE to the lowest computed polymorph = 1 meV per atom; symmetry = P2/c; magnetic moment = 0.476 μB per atom
1.0
5.822 0.000 0.000
0.000 5.874 0.157
0.000 -0.554 9.938
Se Ce H
4 8 4
Direct
0.728 0.494 0.870
0.728 0.006 0.630
0.272 0.994 0.370
0.272 0.506 0.130
0.278 0.006 0.074
0.722 0.506 0.574
0.278 0.494 0.426
0.228 0.501 0.834
0.722 0.994 0.926
0.772 0.001 0.334
0.228 0.999 0.666
0.772 0.499 0.166
0.103 0.616 0.625
0.897 0.116 0.125
0.103 0.884 0.875
0.897 0.384 0.375

8.
CeHSe, relaxed, DFT PBE-GGA; symmetry = P6_3/mmc; magnetic moment = 0.334 μB per atom; E_tot = -5.633 eV per atom
1.0
-2.720 0.259 2.931
3.319 -2.179 0.534
3.711 6.359 2.881
Se Ce H
2 2 2
Direct
0.000 0.000 0.500
0.000 0.000 0.000
0.333 0.667 0.250
0.667 0.333 0.750
0.667 0.333 0.250
0.333 0.667 0.750

9.
Ce2HSe, relaxed, DFT PBE-GGA; ΔE to the lowest computed polymorph = 0 meV per atom; symmetry = R-3m; magnetic moment = 0.736 μB per atom
1.0
-2.211 2.081 2.404
-3.530 -1.264 0.966
0.700 -3.015 6.373
Se Ce H
1 2 1
Direct
0.500 0.500 0.500
0.260 0.260 0.219
0.740 0.740 0.781
0.000 0.000 0.000

10.
Ce2H3Se, relaxed, DFT PBE-GGA; symmetry = P6_3/mmc; magnetic moment = 0.482 μB per atom; E_tot = -5.143 eV per atom
1.0
3.994 0.000 0.000
-1.997 3.459 0.000
0.000 0.000 13.662
H Ce Se
6 4 2
Direct
0.000 0.000 0.500
0.333 0.667 0.430
0.667 0.333 0.930
0.667 0.333 0.570
0.333 0.667 0.070
0.000 0.000 0.000
0.333 0.667 0.895
0.667 0.333 0.105
0.333 0.667 0.605
0.667 0.333 0.395
0.000 0.000 0.750
0.000 0.000 0.250

11.
Ce4HSe5, relaxed, DFT PBE-GGA; symmetry = C2/m; magnetic moment = 0.487 μB per atom; E_tot = -5.874 eV per atom
1.0
4.106 0.000 0.000
0.000 7.503 -1.210
-2.053 -2.314 9.575
Se Ce H
5 4 1
Direct
0.839 0.085 0.678
0.500 0.500 0.000
0.839 0.593 0.678
0.161 0.407 0.322
0.161 0.915 0.322
0.284 0.784 0.568
0.716 0.216 0.432
0.000 0.229 0.000
0.000 0.771 0.000
0.500 0.000 0.000

12.
Ce2H4Se3, relaxed, DFT PBE-GGA; symmetry = P-1; magnetic moment = 0.029 μB per atom; E_tot = -4.647 eV per atom
1.0
3.844 -0.243 -0.311
1.615 4.522 0.147
1.295 2.109 7.708
Se Ce H
3 2 4
Direct
0.000 0.000 0.000
0.376 0.916 0.395
0.624 0.084 0.605
0.743 0.447 0.210
0.257 0.553 0.790
0.200 0.539 0.308
0.720 0.597 0.922
0.280 0.403 0.078
0.800 0.461 0.692

13.
CeHSe2, relaxed, DFT PBE-GGA; symmetry = Cmc2_1; magnetic moment = 0.251 μB per atom; E_tot = -5.157 eV per atom
1.0
-2.795 -2.336 2.506
4.365 -1.350 3.610
-0.387 8.599 3.684
Se Ce H
4 2 2
Direct
0.294 0.723 0.588
0.074 0.796 0.147
0.706 0.223 0.412
0.926 0.296 0.853
0.317 0.221 0.634
0.683 0.721 0.366
0.034 0.571 0.067
0.966 0.071 0.933

14.
CeHSe, relaxed, DFT PBE-GGA; symmetry = F-43m; magnetic moment = 0.334 μB per atom; E_tot = -5.252 eV per atom
1.0
4.662 0.000 0.000
2.331 4.037 0.000
2.331 1.346 3.806
Se Ce H
1 1 1
Direct
0.000 0.000 0.000
0.250 0.250 0.250
0.500 0.500 0.500

15.
CeHSe, relaxed, DFT PBE-GGA; symmetry = I4/mmm; magnetic moment = 0.305 μB per atom; E_tot = -5.113 eV per atom
1.0
4.447 -0.006 0.002
0.005 4.447 0.003
2.223 2.216 6.252
H Se Ce
2 2 2
Direct
0.154 0.595 0.609
0.654 0.094 0.609
0.404 0.844 0.108
0.904 0.344 0.108
0.254 0.194 0.408
0.554 0.494 0.809

16.
CeHSe, relaxed, DFT PBE-GGA; symmetry = Cmcm; magnetic moment = 0.307 μB per atom; E_tot = -5.211 eV per atom
1.0
-1.311 -3.396 0.201
3.487 0.807 3.332
-4.443 1.962 4.174
Se H Ce
2 2 2
Direct
0.293 0.586 0.750
0.707 0.414 0.250
0.433 0.867 0.250
0.567 0.133 0.750
0.000 0.000 0.000
0.000 0.000 0.500

17.
Ce6HSe5, relaxed, DFT PBE-GGA; symmetry = C2/m; magnetic moment = 0.505 μB per atom; E_tot = -6.191 eV per atom
1.0
-4.246 5.640 1.303
-6.515 -2.287 1.981
-1.449 -1.153 6.926
Se Ce H
5 6 1
Direct
0.000 0.335 0.330
0.500 0.173 0.653
0.500 0.500 0.000
0.000 0.665 0.670
0.500 0.827 0.347
0.759 0.404 0.676
0.251 0.242 0.000
0.241 0.920 0.676
0.749 0.758 0.000
0.759 0.080 0.324
0.241 0.596 0.324
0.000 0.000 0.000

18.
Ce2TeH2Se, relaxed, DFT PBE-GGA; symmetry = P-3m1; magnetic moment = 0.335 μB per atom; E_tot = -5.435 eV per atom
1.0
-2.304 0.312 3.336
1.167 -3.661 -1.330
6.833 0.479 4.674
H Ce Te Se
2 2 1 1
Direct
0.333 0.667 0.259
0.667 0.333 0.741
0.333 0.667 0.734
0.667 0.333 0.266
0.000 0.000 0.000
0.000 0.000 0.500

19.
CeSiH2, relaxed, DFT PBE-GGA; ΔE to the lowest computed polymorph = 133 meV per atom; symmetry = R-3m; magnetic moment = 0.000 μB per atom
1.0
-1.420 3.862 0.544
-3.981 0.876 -0.780
-2.618 0.813 3.230
H Si Ce
2 1 1
Direct
0.169 0.169 0.493
0.831 0.831 0.507
0.000 0.000 0.000
0.500 0.500 0.500

20.
Ce2SiH, relaxed, DFT PBE-GGA; ΔE to the lowest computed polymorph = 282 meV per atom; symmetry = R-3m; magnetic moment = 0.515 μB per atom
1.0
4.076 0.000 0.000
2.038 3.530 0.000
2.038 1.177 7.733
H Si Ce
1 1 2
Direct
0.000 0.000 0.000
0.500 0.500 0.500
0.905 0.905 0.284
0.095 0.095 0.716

| no. | theoretical density (g/cm3) | volume (Å³/atom) |
| --- | --- | --- |
| 1 | 4.77 | 10.97 |
| 2 | 5.50 | 22.47 |
| 3 | 6.54 | 23.86 |
| 4 | 6.76 | 21.57 |
| 5 | 6.32 | 19.28 |
| 6 | 7.00 | 21.35 |
| 7 | 7.03 | 21.27 |
| 8 | 6.65 | 18.32 |
| 9 | 6.85 | 21.82 |
| 10 | 6.37 | 15.73 |
| 11 | 5.60 | 28.35 |
| 12 | 6.34 | 15.17 |
| 13 | 4.24 | 29.27 |
| 14 | 5.10 | 23.88 |
| 15 | 5.91 | 20.60 |
| 16 | 6.90 | 17.66 |
| 17 | 6.81 | 25.11 |
| 18 | 6.84 | 19.79 |
| 19 | 5.42 | 13.03 |
| 20 | 4.62 | 27.81 |